# 1
Material: ZrIn2Cl
Method: DFT, PBE
State: relaxed

Unit cell a=3.3268 b=5.6709 c=5.1534 alpha=90.00 beta=92.82 gamma=90.00
Space group P2/m (No. 10)
Asymmetric unit:
Zr (0.0000, 0.0000, 0.0000) (multiplicity 1)
In (0.2997, 0.5000, 0.2397) (multiplicity 2)
Cl (0.0000, 0.0000, 0.5000) (multiplicity 1)

As for the formation energy without anion corrections: -1.0 eV/f.u. For the total energy, the calculation gives -4.22 eV/atom. The density comes out at 6.09 g/cm3. Its crystal system is monoclinic. The distance to the lowest polymorph of the same formula is 354.7 meV per atom.

=====

# 2
Material: ZrInCl
Method: DFT, PBE
State: relaxed

Unit cell a=4.7188 b=4.7188 c=3.4295 alpha=90.00 beta=90.00 gamma=120.00
Space group P-6m2 (No. 187)
Asymmetric unit:
Zr (0.0000, 0.0000, 0.0000) (multiplicity 1)
In (0.3333, 0.6667, 0.5000) (multiplicity 1)
Cl (0.6667, 0.3333, 0.0000) (multiplicity 1)

As for the formation energy without anion corrections: -1.0 eV/f.u. For the total energy, the calculation gives -4.71 eV/atom. The density comes out at 6.06 g/cm3. Its crystal system is hexagonal. The distance to the lowest polymorph of the same formula is 542.2 meV per atom.

=====

# 3
Material: ZrIn2Cl
Method: DFT, PBE
State: relaxed

Unit cell a=3.4268 b=4.8068 c=5.9096 alpha=90.00 beta=106.75 gamma=90.00
Space group Pm (No. 6)
Asymmetric unit:
Zr (0.0000, 0.0000, 0.0000) (multiplicity 1)
In (0.3928, 0.5000, 0.7841) (multiplicity 1)
In (0.7334, 0.0000, 0.4692) (multiplicity 1)
Cl (0.1212, 0.5000, 0.2445) (multiplicity 1)

As for the formation energy without anion corrections: -1.5 eV/f.u. For the total energy, the calculation gives -4.35 eV/atom. The density comes out at 6.35 g/cm3. Its crystal system is monoclinic. The distance to the lowest polymorph of the same formula is 228.0 meV per atom.

=====

# 4
Material: ZrInCl6
Method: DFT, PBE
State: relaxed

Unit cell a=6.6045 b=6.6045 c=17.9106 alpha=90.00 beta=90.00 gamma=120.00
Space group R-3 (No. 148, hexagonal axes)
Asymmetric unit:
Zr (0.0000, 0.0000, 0.0000) (multiplicity 3)
In (0.0000, 0.0000, 0.5000) (multiplicity 3)
Cl (0.0009, 0.3104, 0.0802) (multiplicity 18)

As for the formation energy without anion corrections: -11.2 eV/f.u. For the total energy, the calculation gives -4.20 eV/atom. The density comes out at 3.08 g/cm3. Its crystal system is trigonal.

=====

# 5
Material: ZrInCl
Method: DFT, PBE
State: relaxed

Unit cell a=3.2662 b=22.0951 c=4.5894 alpha=90.00 beta=90.00 gamma=90.00
Space group Cmcm (No. 63)
Asymmetric unit:
Zr (0.0000, 0.0940, 0.2500) (multiplicity 4)
In (0.0000, 0.4588, 0.2500) (multiplicity 4)
Cl (0.0000, 0.3170, 0.7500) (multiplicity 4)

As for the formation energy without anion corrections: -2.4 eV/f.u. For the total energy, the calculation gives -5.17 eV/atom. The density comes out at 4.84 g/cm3. Its crystal system is orthorhombic. The distance to the lowest polymorph of the same formula is 85.6 meV per atom.

=====

# 6
Material: ZrIn2Cl
Method: DFT, PBE
State: relaxed

Unit cell a=4.1674 b=4.1674 c=10.3424 alpha=90.00 beta=90.00 gamma=90.00
Space group I4/mmm (No. 139)
Asymmetric unit:
Zr (0.0000, 0.0000, 0.0000) (multiplicity 2)
In (0.0000, 0.5000, 0.2500) (multiplicity 4)
Cl (0.0000, 0.0000, 0.5000) (multiplicity 2)

As for the formation energy without anion corrections: -0.6 eV/f.u. For the total energy, the calculation gives -4.11 eV/atom. The density comes out at 6.59 g/cm3. Its crystal system is tetragonal. The distance to the lowest polymorph of the same formula is 469.3 meV per atom.

=====

# 7
Material: ZrIn3Cl8
Method: DFT, PBE
State: relaxed

Unit cell a=7.2830 b=7.2830 c=13.7677 alpha=90.00 beta=90.00 gamma=90.00
Space group I-42m (No. 121)
Asymmetric unit:
Zr (0.0000, 0.0000, 0.0000) (multiplicity 2)
In (0.0000, 0.0000, 0.5000) (multiplicity 2)
In (0.0000, 0.5000, 0.2500) (multiplicity 4)
Cl (0.1803, 0.1803, 0.1736) (multiplicity 8)
Cl (0.2221, 0.2221, 0.9340) (multiplicity 8)

As for the formation energy without anion corrections: -13.4 eV/f.u. For the total energy, the calculation gives -3.74 eV/atom. The density comes out at 3.27 g/cm3. Its crystal system is tetragonal.

=====

# 8
Material: ZrIn2Cl
Method: DFT, PBE
State: relaxed

Unit cell a=3.7206 b=5.4935 c=9.2780 alpha=90.00 beta=90.00 gamma=90.00
Space group Cmmm (No. 65)
Asymmetric unit:
Zr (0.0000, 0.0000, 0.0000) (multiplicity 2)
In (0.0000, 0.5000, 0.2510) (multiplicity 4)
Cl (0.0000, 0.0000, 0.5000) (multiplicity 2)

As for the formation energy without anion corrections: -0.7 eV/f.u. For the total energy, the calculation gives -4.15 eV/atom. The density comes out at 6.24 g/cm3. Its crystal system is orthorhombic. The distance to the lowest polymorph of the same formula is 427.6 meV per atom.

=====

# 9
Material: ZrInCl3
Method: DFT, PBE
State: relaxed

Unit cell a=5.3733 b=5.3733 c=5.3733 alpha=90.00 beta=90.00 gamma=90.00
Space group Pm-3m (No. 221)
Asymmetric unit:
Zr (0.0000, 0.0000, 0.0000) (multiplicity 1)
In (0.5000, 0.5000, 0.5000) (multiplicity 1)
Cl (0.0000, 0.5000, 0.5000) (multiplicity 3)

As for the formation energy without anion corrections: -0.1 eV/f.u. For the total energy, the calculation gives -3.38 eV/atom. The density comes out at 3.34 g/cm3. Its crystal system is cubic.

=====

# 10
Material: ZrIn2Cl
Method: DFT, PBE
State: relaxed

Unit cell a=3.0935 b=4.4875 c=14.3626 alpha=90.00 beta=90.00 gamma=90.00
Space group Immm (No. 71)
Asymmetric unit:
Zr (0.0000, 0.0000, 0.0000) (multiplicity 2)
In (0.0000, 0.5000, 0.3067) (multiplicity 4)
Cl (0.0000, 0.0000, 0.5000) (multiplicity 2)

As for the formation energy without anion corrections: -1.3 eV/f.u. For the total energy, the calculation gives -4.30 eV/atom. The density comes out at 5.93 g/cm3. Its crystal system is orthorhombic. The distance to the lowest polymorph of the same formula is 271.1 meV per atom.

=====

# 11
Material: ZrInCl3
Method: DFT, PBE
State: relaxed

Unit cell a=5.1280 b=5.1280 c=5.1280 alpha=90.00 beta=90.00 gamma=90.00
Space group Pm-3m (No. 221)
Asymmetric unit:
Zr (0.0000, 0.0000, 0.0000) (multiplicity 1)
In (0.5000, 0.5000, 0.5000) (multiplicity 1)
Cl (0.0000, 0.0000, 0.5000) (multiplicity 3)

As for the formation energy without anion corrections: -5.1 eV/f.u. For the total energy, the calculation gives -4.38 eV/atom. The density comes out at 3.85 g/cm3. Its crystal system is cubic.

=====

# 12
Material: ZrIn6Cl12
Method: DFT, PBE
State: relaxed

Unit cell a=12.9234 b=12.9234 c=12.4320 alpha=90.00 beta=90.00 gamma=120.00
Space group R-3 (No. 148, hexagonal axes)
Asymmetric unit:
Zr (0.0000, 0.0000, 0.0000) (multiplicity 3)
In (0.0441, 0.2581, 0.6333) (multiplicity 18)
Cl (0.0384, 0.2135, 0.3903) (multiplicity 18)
Cl (0.0498, 0.1790, 0.8868) (multiplicity 18)

As for the formation energy without anion corrections: -19.8 eV/f.u. For the total energy, the calculation gives -3.52 eV/atom. The density comes out at 3.34 g/cm3. Its crystal system is trigonal.

=====

# 13
Material: Zr2In2Cl
Method: DFT, PBE
State: relaxed

Unit cell a=6.8696 b=6.8696 c=4.8458 alpha=90.00 beta=90.00 gamma=90.00
Space group P4/mbm (No. 127)
Asymmetric unit:
Zr (0.1554, 0.3446, 0.0000) (multiplicity 4)
In (0.1538, 0.6538, 0.5000) (multiplicity 4)
Cl (0.0000, 0.0000, 0.0000) (multiplicity 2)

As for the formation energy without anion corrections: -2.0 eV/f.u. For the total energy, the calculation gives -5.28 eV/atom. The density comes out at 6.50 g/cm3. Its crystal system is tetragonal.

=====

# 14
Material: ZrIn2Cl6
Method: DFT, PBE
State: relaxed

Unit cell a=12.5770 b=7.2837 c=6.2705 alpha=90.00 beta=90.80 gamma=90.00
Space group C2/m (No. 12)
Asymmetric unit:
Zr (0.0000, 0.0000, 0.0000) (multiplicity 2)
In (0.1691, 0.5000, 0.1456) (multiplicity 4)
Cl (0.0815, 0.2446, 0.7774) (multiplicity 8)
Cl (0.1642, 0.0000, 0.2270) (multiplicity 4)

As for the formation energy without anion corrections: -12.5 eV/f.u. For the total energy, the calculation gives -4.17 eV/atom. The density comes out at 3.09 g/cm3. Its crystal system is monoclinic. The distance to the lowest polymorph of the same formula is 22.7 meV per atom.

=====

# 15
Material: Zr4InCl
Method: DFT, PBE
State: relaxed

Unit cell a=8.3003 b=8.3003 c=8.3003 alpha=90.00 beta=90.00 gamma=90.00
Space group F-43m (No. 216)
Asymmetric unit:
Zr (0.1226, 0.1226, 0.3774) (multiplicity 16)
In (0.2500, 0.2500, 0.7500) (multiplicity 4)
Cl (0.0000, 0.0000, 0.0000) (multiplicity 4)

As for the formation energy without anion corrections: 1.6 eV/f.u. For the total energy, the calculation gives -6.19 eV/atom. The density comes out at 5.98 g/cm3. Its crystal system is cubic.

=====

# 16
Material: ZrInCl
Method: DFT, PBE
State: relaxed

Unit cell a=7.0995 b=7.0995 c=7.0995 alpha=90.00 beta=90.00 gamma=90.00
Space group F-43m (No. 216)
Asymmetric unit:
Zr (0.0000, 0.0000, 0.0000) (multiplicity 4)
In (0.2500, 0.2500, 0.7500) (multiplicity 4)
Cl (0.0000, 0.0000, 0.5000) (multiplicity 4)

As for the formation energy without anion corrections: 1.6 eV/f.u. For the total energy, the calculation gives -3.83 eV/atom. The density comes out at 4.48 g/cm3. Its crystal system is cubic. The distance to the lowest polymorph of the same formula is 1419.8 meV per atom.

=====

# 17
Material: ZrInCl
Method: DFT, PBE
State: relaxed

Unit cell a=14.1147 b=3.2311 c=6.6772 alpha=90.00 beta=107.41 gamma=90.00
Space group C2/m (No. 12)
Asymmetric unit:
Zr (0.1545, 0.0000, 0.3480) (multiplicity 4)
In (0.0000, 0.5000, 0.0000) (multiplicity 2)
In (0.0000, 0.5000, 0.5000) (multiplicity 2)
Cl (0.2225, 0.0000, 0.7568) (multiplicity 4)

As for the formation energy without anion corrections: -2.1 eV/f.u. For the total energy, the calculation gives -5.08 eV/atom. The density comes out at 5.52 g/cm3. Its crystal system is monoclinic. The distance to the lowest polymorph of the same formula is 173.8 meV per atom.

=====

# 18
Material: ZrIn2Cl
Method: DFT, PBE
State: relaxed

Unit cell a=4.3031 b=4.3031 c=10.2888 alpha=90.00 beta=90.00 gamma=90.00
Space group I-4m2 (No. 119)
Asymmetric unit:
Zr (0.0000, 0.0000, 0.0000) (multiplicity 2)
In (0.0000, 0.0000, 0.5000) (multiplicity 2)
In (0.0000, 0.5000, 0.2500) (multiplicity 2)
Cl (0.0000, 0.5000, 0.7500) (multiplicity 2)

As for the formation energy without anion corrections: -0.2 eV/f.u. For the total energy, the calculation gives -4.02 eV/atom. The density comes out at 6.21 g/cm3. Its crystal system is tetragonal. The distance to the lowest polymorph of the same formula is 559.5 meV per atom.

=====

# 19
Material: ZrInCl
Method: DFT, PBE
State: relaxed

Unit cell a=3.2888 b=3.3081 c=13.9320 alpha=90.00 beta=90.00 gamma=90.00
Space group Amm2 (No. 38)
Asymmetric unit:
Zr (0.0000, 0.0000, 0.0000) (multiplicity 2)
In (0.5000, 0.0000, 0.3622) (multiplicity 2)
Cl (0.5000, 0.0000, 0.1431) (multiplicity 2)

As for the formation energy without anion corrections: -2.0 eV/f.u. For the total energy, the calculation gives -5.05 eV/atom. The density comes out at 5.29 g/cm3. Its crystal system is orthorhombic. The distance to the lowest polymorph of the same formula is 206.9 meV per atom.

=====

# 20
Material: ZrIn2Cl
Method: DFT, PBE
State: relaxed

Unit cell a=3.3977 b=5.6296 c=10.8932 alpha=90.00 beta=90.00 gamma=90.00
Space group Cmm2 (No. 35)
Asymmetric unit:
Zr (0.0000, 0.0000, 0.0000) (multiplicity 2)
In (0.0000, 0.0000, 0.4831) (multiplicity 2)
In (0.0000, 0.5000, 0.2306) (multiplicity 2)
Cl (0.0000, 0.5000, 0.8202) (multiplicity 2)

As for the formation energy without anion corrections: -1.9 eV/f.u. For the total energy, the calculation gives -4.44 eV/atom. The density comes out at 5.68 g/cm3. Its crystal system is orthorhombic. The distance to the lowest polymorph of the same formula is 133.8 meV per atom.

=====

Number 1: magnetization 0.00 μB per formula unit. Number 2: magnetization 0.01 μB per formula unit. Number 3: magnetization 0.00 μB per formula unit. Number 4: magnetization 0.00 μB per formula unit. Number 5: magnetization 0.00 μB per formula unit. Number 6: magnetization 0.00 μB per formula unit. Number 7: magnetization 0.00 μB per formula unit. Number 8: magnetization 0.00 μB per formula unit. Number 9: magnetization 2.81 μB per formula unit. Number 10: magnetization 0.00 μB per formula unit. Number 11: magnetization 0.00 μB per formula unit. Number 12: magnetization 0.00 μB per formula unit. Number 13: magnetization 0.00 μB per formula unit. Number 14: magnetization 0.00 μB per formula unit. Number 15: magnetization 0.00 μB per formula unit. Number 16: magnetization 1.98 μB per formula unit. Number 17: magnetization 0.00 μB per formula unit. Number 18: magnetization 0.00 μB per formula unit. Number 19: magnetization 0.00 μB per formula unit. Number 20: magnetization 0.00 μB per formula unit.